A plane-wave DFT calculation with PBE was carried out for a geometry-optimized HfNb4CN4 structure.

a b c (Å): 11.541 11.541 11.541
angles (deg): 164.26 164.26 22.33
Element x y z (fractional)
Hf: 0.000 0.000 0.000
Nb: 0.405 0.405 0.000
Nb: 0.795 0.795 0.000
Nb: 0.205 0.205 0.000
Nb: 0.595 0.595 0.000
C: 0.500 0.500 0.000
N: 0.898 0.898 0.000
N: 0.304 0.304 0.000
N: 0.696 0.696 0.000
N: 0.102 0.102 0.000

- Uncorrected energy: -102.235 eV/cell
- E_form (uncorrected): -91.4 kJ/mol of atoms

A plane-wave DFT calculation with PBE was carried out for a geometry-optimized Tb4PmNd2Er structure.

a b c (Å): 5.089 5.081 11.354
angles (deg): 63.41 90.00 90.00
Element x y z (fractional)
Tb: 0.000 0.753 0.748
Tb: 0.000 0.247 0.252
Tb: 0.500 0.748 0.252
Tb: 0.500 0.252 0.748
Pm: 0.500 0.500 0.000
Nd: 0.000 0.000 0.000
Nd: 0.500 0.000 0.500
Er: 0.000 0.500 0.500

- Uncorrected energy: -37.238 eV/cell
- DFT formation energy: 17 meV/atom

A plane-wave DFT calculation with PBE was carried out for a geometry-optimized Al3Te structure.

a b c (Å): 3.985 3.984 5.616
angles (deg): 90.00 90.00 90.00
Element x y z (fractional)
Te: 0.000 0.500 0.293
Al: 0.000 0.000 0.901
Al: 0.500 0.000 0.572
Al: 0.500 0.500 0.901

- Uncorrected energy: -13.757 eV/cell
- E above lowest polymorph: 107 meV/atom
- E_form (uncorrected): 14.8 kJ/mol of atoms

A plane-wave DFT calculation with PBE was carried out for a geometry-optimized K2CrP structure.

a b c (Å): 12.547 12.547 9.163
angles (deg): 46.79 46.79 90.00
Element x y z (fractional)
Cr: 0.000 0.000 0.000
Cr: 0.750 0.250 0.500
K: 0.427 0.125 0.250
K: 0.323 0.625 0.250
K: 0.375 0.573 0.750
K: 0.875 0.677 0.750
P: 0.500 0.500 0.000
P: 0.250 0.750 0.500

- Uncorrected energy: -33.895 eV/cell
- DFT formation energy: 70 meV/atom